BeNi (GGA-PBE, relaxed); DFT total energy = -39.82 eV for the cell shown; M_tot = 0.0 μB/cell; formation enthalpy at 0 K = -0.223 eV/atom
1.0
-3.310 3.310 1.732
3.310 -3.310 1.732
3.310 3.310 -1.732
Be Ni
4 4
Direct
0.169 0.169 0.338
0.169 0.831 0.000
0.831 0.169 0.000
0.831 0.831 0.662
0.208 0.500 0.708
0.500 0.208 0.708
0.500 0.792 0.292
0.792 0.500 0.292